# 1
TiV4H2: optimized geometry, PBE.

Unit cell a=5.629 b=5.629 c=5.629 alpha=135.53 beta=135.53 gamma=64.70
Element x y z (fractional)
Ti1 0.000 0.000 0.000
V1 0.000 0.500 0.500
V2 0.263 0.263 0.000
V3 0.500 0.000 0.500
V4 0.737 0.737 0.000
H1 0.438 0.438 0.000
H2 0.562 0.562 0.000

Symmetry: I4/mmm

=====

# 2
CrReNi2: optimized geometry, PBE.

Unit cell a=4.413 b=4.413 c=4.571 alpha=97.66 beta=97.66 gamma=33.47
Element x y z (fractional)
Cr1 0.000 0.000 0.000
Re1 0.241 0.241 0.730
Ni1 0.493 0.493 0.476
Ni2 0.742 0.742 0.236

Symmetry: Cm
ΔE to the lowest computed polymorph, meV/atom: 41

=====

# 3
YThBi2: optimized geometry, PBE.

Unit cell a=5.742 b=5.742 c=3.649 alpha=90.00 beta=90.00 gamma=90.00
Element x y z (fractional)
Y1 0.000 0.000 0.000
Th1 0.500 0.500 0.000
Bi1 0.000 0.500 0.500
Bi2 0.500 0.000 0.500

Symmetry: P4/mmm
ΔE to the lowest computed polymorph, meV/atom: 159

=====

# 4
SrLi4Pt: optimized geometry, PBE.

Unit cell a=5.466 b=5.466 c=5.466 alpha=60.00 beta=60.00 gamma=60.00
Element x y z (fractional)
Sr1 0.000 0.000 0.000
Li1 0.136 0.621 0.621
Li2 0.621 0.136 0.621
Li3 0.621 0.621 0.136
Li4 0.621 0.621 0.621
Pt1 0.250 0.250 0.250

Symmetry: F-43m
ΔE to the lowest computed polymorph, meV/atom: 152

=====

Number 1: calculated total energy -44.60 eV per cell, ρ 4.9 Mg/m³. Number 2: calculated total energy -33.45 eV per cell, ρ 12.1 Mg/m³. Number 3: calculated total energy -23.93 eV per cell, ρ 10.2 Mg/m³. Number 4: calculated total energy -16.22 eV per cell, ρ 4.5 Mg/m³.